No. 1
# CaCrMo2 PBE relaxed
# DOS at the Fermi energy: 3.94 states/eV/f.u.
data_CaCrMo2
_symmetry_space_group_name_H-M 'F -4 3 m'
_symmetry_Int_Tables_number 216
_symmetry_space_group_name_Hall 'F -4 2 3'
_cell_length_a 6.559
_cell_length_b 6.559
_cell_length_c 6.559
_cell_angle_alpha 90.00
_cell_angle_beta 90.00
_cell_angle_gamma 90.00
loop_
_atom_site_label
_atom_site_type_symbol
_atom_site_fract_x
_atom_site_fract_y
_atom_site_fract_z
Ca1 Ca 0.000 0.000 0.000
Cr1 Cr 0.250 0.250 0.750
Mo1 Mo 0.000 0.000 0.500
Mo2 Mo 0.250 0.250 0.250

***

No. 2
# CaFeTeI2 PBE relaxed
# uncorrected formation energy: -0.31 eV/atom
# DOS at the Fermi energy: 5.69 states/eV/f.u.
data_CaFeTeI2
_symmetry_space_group_name_H-M 'P 4/m m m'
_symmetry_Int_Tables_number 123
_symmetry_space_group_name_Hall '-P 4 2'
_cell_length_a 5.445
_cell_length_b 5.445
_cell_length_c 5.369
_cell_angle_alpha 90.00
_cell_angle_beta 90.00
_cell_angle_gamma 90.00
loop_
_atom_site_label
_atom_site_type_symbol
_atom_site_fract_x
_atom_site_fract_y
_atom_site_fract_z
Ca1 Ca 0.000 0.000 0.000
Fe1 Fe 0.500 0.500 0.500
Te1 Te 0.500 0.500 0.000
I1 I 0.000 0.500 0.500

***

No. 3
# RbCeAsO5 PBE relaxed
# uncorrected formation energy: -2.24 eV/atom
# DOS at the Fermi energy: 0.00 states/eV/f.u.
data_RbCeAsO5
_symmetry_space_group_name_H-M 'C 1 2/c 1'
_symmetry_Int_Tables_number 15
_cell_length_a 7.606
_cell_length_b 10.148
_cell_length_c 8.083
_cell_angle_alpha 90.00
_cell_angle_beta 114.56
_cell_angle_gamma 90.00
loop_
_symmetry_equiv_pos_as_xyz
'x,y,z'
'-x,-y,-z'
'-x,y,-z+1/2'
'x,-y,z+1/2'
'x+1/2,y+1/2,z'
'-x+1/2,-y+1/2,-z'
'-x+1/2,y+1/2,-z+1/2'
'x+1/2,-y+1/2,z+1/2'
loop_
_atom_site_label
_atom_site_type_symbol
_atom_site_fract_x
_atom_site_fract_y
_atom_site_fract_z
Rb1 Rb 0.000 0.167 0.250
Ce1 Ce 0.000 0.500 0.000
As1 As 0.000 0.187 0.750
O1 O 0.000 0.441 0.250
O2 O 0.082 0.285 0.622
O3 O 0.183 0.085 0.892

***

No. 4
# Ca2CrGa3Au12 PBE relaxed
# DOS at the Fermi energy: 9.87 states/eV/f.u.
data_Ca2CrGa3Au12
_symmetry_space_group_name_H-M 'R -3 m'
_symmetry_Int_Tables_number 166
_symmetry_space_group_name_Hall '-R 3 2"'
_cell_length_a 5.7236
_cell_length_b 5.7236
_cell_length_c 39.6878
_cell_angle_alpha 90.00
_cell_angle_beta 90.00
_cell_angle_gamma 120.00
loop_
_atom_site_label
_atom_site_type_symbol
_atom_site_fract_x
_atom_site_fract_y
_atom_site_fract_z
Ca1 Ca 0.0000 0.0000 0.1444
Cr1 Cr 0.0000 0.0000 0.5000
Ga1 Ga 0.0000 0.5000 0.0000
Au1 Au 0.0025 0.5012 0.8856
Au2 Au 0.0088 0.5044 0.6129

***

No. 5
# KRb3Mg2H8 PBE relaxed
# DOS at the Fermi energy: 0.00 states/eV/f.u.
data_KRb3Mg2H8
_symmetry_space_group_name_H-M 'P -3 m 1'
_symmetry_Int_Tables_number 164
_symmetry_space_group_name_Hall '-P 3 2"'
_cell_length_a 6.3676
_cell_length_b 6.3676
_cell_length_c 8.0696
_cell_angle_alpha 90.00
_cell_angle_beta 90.00
_cell_angle_gamma 120.00
loop_
_atom_site_label
_atom_site_type_symbol
_atom_site_fract_x
_atom_site_fract_y
_atom_site_fract_z
K1 K 0.0000 0.0000 0.0000
Rb1 Rb 0.0000 0.0000 0.5000
Rb2 Rb 0.3333 0.6667 0.1536
Mg1 Mg 0.3333 0.6667 0.7035
H1 H 0.1799 0.3597 0.7987
H2 H 0.3333 0.6667 0.4792

***

No. 6
# Li2MgPBr PBE relaxed
# uncorrected formation energy: -0.80 eV/atom
# DOS at the Fermi energy: 0.00 states/eV/f.u.
data_Li2MgPBr
_symmetry_space_group_name_H-M 'P 4/m m m'
_symmetry_Int_Tables_number 123
_symmetry_space_group_name_Hall '-P 4 2'
_cell_length_a 4.807
_cell_length_b 4.807
_cell_length_c 4.828
_cell_angle_alpha 90.00
_cell_angle_beta 90.00
_cell_angle_gamma 90.00
loop_
_atom_site_label
_atom_site_type_symbol
_atom_site_fract_x
_atom_site_fract_y
_atom_site_fract_z
Li1 Li 0.000 0.500 0.000
Mg1 Mg 0.000 0.000 0.500
P1 P 0.000 0.000 0.000
Br1 Br 0.500 0.500 0.500

***

No. 7
# Zn2IrSe PBE relaxed
# uncorrected formation energy: 0.03 eV/atom
# DOS at the Fermi energy: 1.99 states/eV/f.u.
data_Zn2IrSe
_symmetry_space_group_name_H-M 'P m m m'
_symmetry_Int_Tables_number 47
_cell_length_a 3.320
_cell_length_b 3.331
_cell_length_c 5.681
_cell_angle_alpha 90.00
_cell_angle_beta 90.00
_cell_angle_gamma 90.00
loop_
_symmetry_equiv_pos_as_xyz
'x,y,z'
'-x,-y,-z'
'-x,-y,z'
'x,y,-z'
'x,-y,-z'
'-x,y,z'
'-x,y,-z'
'x,-y,z'
loop_
_atom_site_label
_atom_site_type_symbol
_atom_site_fract_x
_atom_site_fract_y
_atom_site_fract_z
Zn1 Zn 0.000 0.000 0.232
Ir1 Ir 0.500 0.500 0.000
Se1 Se 0.500 0.500 0.500

***

| no. | final energy (eV/atom) |
| --- | --- |
| 1 | -7.60 |
| 2 | -3.65 |
| 3 | -6.78 |
| 4 | -3.63 |
| 5 | -2.65 |
| 6 | -3.30 |
| 7 | -3.69 |